Record 1
Ni2AgAs2: optimized geometry, PBE.

Geometry as CIF:
```
data_Ni2AgAs2
_cell_length_a 7.0475
_cell_length_b 7.0475
_cell_length_c 3.0065
_cell_angle_alpha 90.00
_cell_angle_beta 90.00
_cell_angle_gamma 90.00
_symmetry_space_group_name_H-M 'P 4/m b m'
_symmetry_Int_Tables_number 127
_symmetry_space_group_name_Hall '-P 4 2ab'
loop_
_atom_site_label
_atom_site_type_symbol
_atom_site_fract_x
_atom_site_fract_y
_atom_site_fract_z
Ni1 Ni 0.1304 0.3696 0.0000
Ag1 Ag 0.0000 0.0000 0.0000
As1 As 0.1615 0.6615 0.5000
```

Spin magnetization in μB/f.u.: 0.0
Energy of formation from the pure elements in meV/atom: -15.2
Calculated total energy in eV/atom: -4.758
Theoretical density in g/cm3: 8.34

=====

Record 2
NiAgAs: optimized geometry, PBE.

Geometry as CIF:
```
data_NiAgAs
_cell_length_a 4.0374
_cell_length_b 4.0374
_cell_length_c 3.4380
_cell_angle_alpha 90.00
_cell_angle_beta 90.00
_cell_angle_gamma 120.00
_symmetry_space_group_name_H-M 'P -6 m 2'
_symmetry_Int_Tables_number 187
_symmetry_space_group_name_Hall 'P -6 2'
loop_
_atom_site_label
_atom_site_type_symbol
_atom_site_fract_x
_atom_site_fract_y
_atom_site_fract_z
Ni1 Ni 0.0000 0.0000 0.0000
Ag1 Ag 0.3333 0.6667 0.5000
As1 As 0.6667 0.3333 0.0000
```

Spin magnetization in μB/f.u.: 0.0
Energy of formation from the pure elements in meV/atom: 63.1
Calculated total energy in eV/atom: -4.364
Theoretical density in g/cm3: 8.26

=====

Record 3
Ni2AgAs: optimized geometry, PBE.

Geometry as CIF:
```
data_Ni2AgAs
_cell_length_a 6.0842
_cell_length_b 6.0842
_cell_length_c 6.0842
_cell_angle_alpha 90.00
_cell_angle_beta 90.00
_cell_angle_gamma 90.00
_symmetry_space_group_name_H-M 'F -4 3 m'
_symmetry_Int_Tables_number 216
_symmetry_space_group_name_Hall 'F -4 2 3'
loop_
_atom_site_label
_atom_site_type_symbol
_atom_site_fract_x
_atom_site_fract_y
_atom_site_fract_z
Ni1 Ni 0.0000 0.0000 0.0000
Ni2 Ni 0.2500 0.2500 0.2500
Ag1 Ag 0.2500 0.2500 0.7500
As1 As 0.0000 0.0000 0.5000
```

Spin magnetization in μB/f.u.: 0.0
Energy of formation from the pure elements in meV/atom: 221.5
Calculated total energy in eV/atom: -4.544
Theoretical density in g/cm3: 8.85

=====

Record 4
Ni2AgAs: optimized geometry, PBE.

Geometry as CIF:
```
data_Ni2AgAs
_cell_length_a 7.3790
_cell_length_b 2.8783
_cell_length_c 5.5963
_cell_angle_alpha 90.00
_cell_angle_beta 100.36
_cell_angle_gamma 90.00
_symmetry_space_group_name_H-M 'C 1 2/m 1'
_symmetry_Int_Tables_number 12
loop_
_symmetry_equiv_pos_as_xyz
'x,y,z'
'-x,-y,-z'
'-x,y,-z'
'x,-y,z'
'x+1/2,y+1/2,z'
'-x+1/2,-y+1/2,-z'
'-x+1/2,y+1/2,-z'
'x+1/2,-y+1/2,z'
loop_
_atom_site_label
_atom_site_type_symbol
_atom_site_fract_x
_atom_site_fract_y
_atom_site_fract_z
Ni1 Ni 0.2406 0.0000 0.1954
Ag1 Ag 0.0000 0.0000 0.5000
As1 As 0.0000 0.5000 0.0000
```

Spin magnetization in μB/f.u.: 0.0
Energy of formation from the pure elements in meV/atom: 84.4
Calculated total energy in eV/atom: -4.681
Theoretical density in g/cm3: 8.53

=====

Record 5
Ni2AgAs2: optimized geometry, PBE.

Geometry as CIF:
```
data_Ni2AgAs2
_cell_length_a 4.1085
_cell_length_b 4.1085
_cell_length_c 9.5439
_cell_angle_alpha 90.00
_cell_angle_beta 90.00
_cell_angle_gamma 90.00
_symmetry_space_group_name_H-M 'I 4/m m m'
_symmetry_Int_Tables_number 139
_symmetry_space_group_name_Hall '-I 4 2'
loop_
_atom_site_label
_atom_site_type_symbol
_atom_site_fract_x
_atom_site_fract_y
_atom_site_fract_z
Ni1 Ni 0.0000 0.5000 0.2500
Ag1 Ag 0.0000 0.0000 0.0000
As1 As 0.0000 0.0000 0.3705
```

Spin magnetization in μB/f.u.: 0.0
Energy of formation from the pure elements in meV/atom: -38.5
Calculated total energy in eV/atom: -4.781
Theoretical density in g/cm3: 7.73

=====

Record 6
NiAg3As: optimized geometry, PBE.

Geometry as CIF:
```
data_NiAg3As
_cell_length_a 4.8631
_cell_length_b 4.8631
_cell_length_c 4.8631
_cell_angle_alpha 90.00
_cell_angle_beta 90.00
_cell_angle_gamma 90.00
_symmetry_space_group_name_H-M 'P m -3 m'
_symmetry_Int_Tables_number 221
_symmetry_space_group_name_Hall '-P 4 2 3'
loop_
_atom_site_label
_atom_site_type_symbol
_atom_site_fract_x
_atom_site_fract_y
_atom_site_fract_z
Ni1 Ni 0.0000 0.0000 0.0000
Ag1 Ag 0.0000 0.5000 0.5000
As1 As 0.5000 0.5000 0.5000
```

Spin magnetization in μB/f.u.: 0.4
Energy of formation from the pure elements in meV/atom: 813.8
Calculated total energy in eV/atom: -2.983
Theoretical density in g/cm3: 6.60

=====

Record 7
Ni2AgAs: optimized geometry, PBE.

Geometry as CIF:
```
data_Ni2AgAs
_cell_length_a 6.7450
_cell_length_b 6.7450
_cell_length_c 5.2790
_cell_angle_alpha 90.00
_cell_angle_beta 90.00
_cell_angle_gamma 90.00
_symmetry_space_group_name_H-M 'I -4 2 d'
_symmetry_Int_Tables_number 122
_symmetry_space_group_name_Hall 'I -4 2bw'
loop_
_atom_site_label
_atom_site_type_symbol
_atom_site_fract_x
_atom_site_fract_y
_atom_site_fract_z
Ni1 Ni 0.2068 0.2500 0.1250
Ag1 Ag 0.0000 0.0000 0.5000
As1 As 0.0000 0.0000 0.0000
```

Spin magnetization in μB/f.u.: 0.0
Energy of formation from the pure elements in meV/atom: 156.8
Calculated total energy in eV/atom: -4.609
Theoretical density in g/cm3: 8.30

=====

Record 8
Ni2AgAs: optimized geometry, PBE.

Geometry as CIF:
```
data_Ni2AgAs
_cell_length_a 3.6968
_cell_length_b 3.6968
_cell_length_c 8.1309
_cell_angle_alpha 90.00
_cell_angle_beta 90.00
_cell_angle_gamma 90.00
_symmetry_space_group_name_H-M 'I -4 m 2'
_symmetry_Int_Tables_number 119
_symmetry_space_group_name_Hall 'I -4 -2'
loop_
_atom_site_label
_atom_site_type_symbol
_atom_site_fract_x
_atom_site_fract_y
_atom_site_fract_z
Ni1 Ni 0.0000 0.0000 0.0000
Ni2 Ni 0.0000 0.5000 0.2500
Ag1 Ag 0.0000 0.5000 0.7500
As1 As 0.0000 0.0000 0.5000
```

Spin magnetization in μB/f.u.: 0.0
Energy of formation from the pure elements in meV/atom: 154.0
Calculated total energy in eV/atom: -4.612
Theoretical density in g/cm3: 8.97

=====

Record 9
Ni2AgAs: optimized geometry, PBE.

Geometry as CIF:
```
data_Ni2AgAs
_cell_length_a 2.9291
_cell_length_b 2.9291
_cell_length_c 23.1251
_cell_angle_alpha 90.00
_cell_angle_beta 90.00
_cell_angle_gamma 120.00
_symmetry_space_group_name_H-M 'R -3 m'
_symmetry_Int_Tables_number 166
_symmetry_space_group_name_Hall '-R 3 2"'
loop_
_atom_site_label
_atom_site_type_symbol
_atom_site_fract_x
_atom_site_fract_y
_atom_site_fract_z
Ni1 Ni 0.0000 0.0000 0.2397
Ag1 Ag 0.0000 0.0000 0.0000
As1 As 0.0000 0.0000 0.5000
```

Spin magnetization in μB/f.u.: 0.0
Energy of formation from the pure elements in meV/atom: 77.8
Calculated total energy in eV/atom: -4.688
Theoretical density in g/cm3: 8.70

=====

Record 10
Ni2AgAs: optimized geometry, PBE.

Geometry as CIF:
```
data_Ni2AgAs
_cell_length_a 8.3967
_cell_length_b 2.9924
_cell_length_c 4.7171
_cell_angle_alpha 90.00
_cell_angle_beta 100.23
_cell_angle_gamma 90.00
_symmetry_space_group_name_H-M 'C 1 m 1'
_symmetry_Int_Tables_number 8
loop_
_symmetry_equiv_pos_as_xyz
'x,y,z'
'x,-y,z'
'x+1/2,y+1/2,z'
'x+1/2,-y+1/2,z'
loop_
_atom_site_label
_atom_site_type_symbol
_atom_site_fract_x
_atom_site_fract_y
_atom_site_fract_z
Ni1 Ni 0.0000 0.0000 0.0000
Ni2 Ni 0.2393 0.5000 0.2336
Ag1 Ag 0.2476 0.0000 0.7354
As1 As 0.4691 0.0000 0.3660
```

Spin magnetization in μB/f.u.: 0.0
Energy of formation from the pure elements in meV/atom: 70.2
Calculated total energy in eV/atom: -4.696
Theoretical density in g/cm3: 8.55

=====

Record 11
Ni2AgAs: optimized geometry, PBE.

Geometry as CIF:
```
data_Ni2AgAs
_cell_length_a 2.8730
_cell_length_b 3.7299
_cell_length_c 5.4707
_cell_angle_alpha 90.00
_cell_angle_beta 104.45
_cell_angle_gamma 90.00
_symmetry_space_group_name_H-M 'P 1 2/m 1'
_symmetry_Int_Tables_number 10
loop_
_symmetry_equiv_pos_as_xyz
'x,y,z'
'-x,-y,-z'
'-x,y,-z'
'x,-y,z'
loop_
_atom_site_label
_atom_site_type_symbol
_atom_site_fract_x
_atom_site_fract_y
_atom_site_fract_z
Ni1 Ni 0.1270 0.0000 0.2798
Ag1 Ag 0.5000 0.5000 0.0000
As1 As 0.5000 0.5000 0.5000
```

Spin magnetization in μB/f.u.: 0.0
Energy of formation from the pure elements in meV/atom: 74.2
Calculated total energy in eV/atom: -4.692
Theoretical density in g/cm3: 8.78

=====

Record 12
Ni2AgAs: optimized geometry, PBE.

Geometry as CIF:
```
data_Ni2AgAs
_cell_length_a 2.9769
_cell_length_b 2.9769
_cell_length_c 6.2612
_cell_angle_alpha 90.00
_cell_angle_beta 90.00
_cell_angle_gamma 90.00
_symmetry_space_group_name_H-M 'P 4/m m m'
_symmetry_Int_Tables_number 123
_symmetry_space_group_name_Hall '-P 4 2'
loop_
_atom_site_label
_atom_site_type_symbol
_atom_site_fract_x
_atom_site_fract_y
_atom_site_fract_z
Ni1 Ni 0.0000 0.0000 0.2105
Ag1 Ag 0.5000 0.5000 0.5000
As1 As 0.5000 0.5000 0.0000
```

Spin magnetization in μB/f.u.: 0.0
Energy of formation from the pure elements in meV/atom: 19.7
Calculated total energy in eV/atom: -4.746
Theoretical density in g/cm3: 8.98

=====

Record 13
NiAgAs: optimized geometry, PBE.

Geometry as CIF:
```
data_NiAgAs
_cell_length_a 5.8726
_cell_length_b 5.8726
_cell_length_c 5.8726
_cell_angle_alpha 90.00
_cell_angle_beta 90.00
_cell_angle_gamma 90.00
_symmetry_space_group_name_H-M 'F -4 3 m'
_symmetry_Int_Tables_number 216
_symmetry_space_group_name_Hall 'F -4 2 3'
loop_
_atom_site_label
_atom_site_type_symbol
_atom_site_fract_x
_atom_site_fract_y
_atom_site_fract_z
Ni1 Ni 0.0000 0.0000 0.0000
Ag1 Ag 0.2500 0.2500 0.2500
As1 As 0.2500 0.2500 0.7500
```

Spin magnetization in μB/f.u.: 0.0
Energy of formation from the pure elements in meV/atom: 86.0
Calculated total energy in eV/atom: -4.341
Theoretical density in g/cm3: 7.92

=====

Record 14
NiAgAs: optimized geometry, PBE.

Geometry as CIF:
```
data_NiAgAs
_cell_length_a 3.0167
_cell_length_b 3.0167
_cell_length_c 6.2154
_cell_angle_alpha 90.00
_cell_angle_beta 90.00
_cell_angle_gamma 120.00
_symmetry_space_group_name_H-M 'P 3 m 1'
_symmetry_Int_Tables_number 156
loop_
_symmetry_equiv_pos_as_xyz
'x,y,z'
'-y,x-y,z'
'-x+y,-x,z'
'-y,-x,z'
'-x+y,y,z'
'x,x-y,z'
loop_
_atom_site_label
_atom_site_type_symbol
_atom_site_fract_x
_atom_site_fract_y
_atom_site_fract_z
Ni1 Ni 0.0000 0.0000 0.0000
Ag1 Ag 0.6667 0.3333 0.3381
As1 As 0.3333 0.6667 0.7505
```

Spin magnetization in μB/f.u.: 0.0
Energy of formation from the pure elements in meV/atom: 48.7
Calculated total energy in eV/atom: -4.379
Theoretical density in g/cm3: 8.19

=====

Record 15
Ni2AgAs: optimized geometry, PBE.

Geometry as CIF:
```
data_Ni2AgAs
_cell_length_a 4.3213
_cell_length_b 4.3213
_cell_length_c 2.9598
_cell_angle_alpha 90.00
_cell_angle_beta 90.00
_cell_angle_gamma 90.00
_symmetry_space_group_name_H-M 'P 4/m m m'
_symmetry_Int_Tables_number 123
_symmetry_space_group_name_Hall '-P 4 2'
loop_
_atom_site_label
_atom_site_type_symbol
_atom_site_fract_x
_atom_site_fract_y
_atom_site_fract_z
Ni1 Ni 0.0000 0.5000 0.0000
Ag1 Ag 0.0000 0.0000 0.5000
As1 As 0.5000 0.5000 0.5000
```

Spin magnetization in μB/f.u.: 0.0
Energy of formation from the pure elements in meV/atom: 119.2
Calculated total energy in eV/atom: -4.647
Theoretical density in g/cm3: 9.02

=====

Record 16
NiAgAs: optimized geometry, PBE.

Geometry as CIF:
```
data_NiAgAs
_cell_length_a 6.0011
_cell_length_b 6.0011
_cell_length_c 6.0011
_cell_angle_alpha 90.00
_cell_angle_beta 90.00
_cell_angle_gamma 90.00
_symmetry_space_group_name_H-M 'F -4 3 m'
_symmetry_Int_Tables_number 216
_symmetry_space_group_name_Hall 'F -4 2 3'
loop_
_atom_site_label
_atom_site_type_symbol
_atom_site_fract_x
_atom_site_fract_y
_atom_site_fract_z
Ni1 Ni 0.0000 0.0000 0.0000
Ag1 Ag 0.2500 0.2500 0.7500
As1 As 0.0000 0.0000 0.5000
```

Spin magnetization in μB/f.u.: 0.0
Energy of formation from the pure elements in meV/atom: 439.7
Calculated total energy in eV/atom: -3.988
Theoretical density in g/cm3: 7.42